# 1
An optimized crystal structure of KSb2Os2. Source: the Alexandria database, functional PBE.

Lattice parameters (Å, degrees): 8.109 8.109 3.070 90.00 90.00 90.00
Positions (direct):
K: 0.000 0.000 0.000
K: 0.500 0.500 0.000
Sb: 0.154 0.346 0.500
Sb: 0.346 0.846 0.500
Sb: 0.654 0.154 0.500
Sb: 0.846 0.654 0.500
Os: 0.132 0.632 0.000
Os: 0.368 0.132 0.000
Os: 0.632 0.868 0.000
Os: 0.868 0.368 0.000

Values from the calculation:
For the calculated density, the calculation gives 10.91 g/cm3. Its density of states at the Fermi level is 2.94 states/eV/f.u. For the electronic total energy, the calculation gives -58.4 eV per cell.

***

# 2
An optimized crystal structure of PmTmAlHg. Source: the Alexandria database, functional PBE.

Lattice parameters (Å, degrees): 5.244 5.244 5.244 60.00 60.00 60.00
Positions (direct):
Pm: 0.000 0.000 0.000
Tm: 0.500 0.500 0.500
Al: 0.750 0.750 0.750
Hg: 0.250 0.250 0.250

Values from the calculation:
For the calculated density, the calculation gives 8.82 g/cm3. Its density of states at the Fermi level is 4.37 states/eV/f.u. The energy relative to the lowest polymorph listed for this composition is 46 meV per atom. For the electronic total energy, the calculation gives -14.8 eV per cell.

***

# 3
An optimized crystal structure of InNiHg2Te. Source: the Alexandria database, functional PBE.

Lattice parameters (Å, degrees): 5.068 5.068 5.064 90.00 90.00 90.00
Positions (direct):
In: 0.000 0.000 0.000
Ni: 0.000 0.000 0.500
Hg: 0.000 0.500 0.500
Hg: 0.500 0.000 0.500
Te: 0.500 0.500 0.000

Values from the calculation:
For the calculated density, the calculation gives 8.97 g/cm3. Its density of states at the Fermi level is 3.48 states/eV/f.u. For the electronic total energy, the calculation gives -11.5 eV per cell.

***

# 4
An optimized crystal structure of LaNd2Ge. Source: the Alexandria database, functional PBE.

Lattice parameters (Å, degrees): 4.880 4.880 4.763 90.00 90.00 90.00
Positions (direct):
La: 0.000 0.000 0.000
Nd: 0.000 0.500 0.500
Nd: 0.500 0.000 0.500
Ge: 0.500 0.500 0.000

Values from the calculation:
For the calculated density, the calculation gives 7.32 g/cm3. Its density of states at the Fermi level is 4.48 states/eV/f.u. The energy relative to the lowest polymorph listed for this composition is 89 meV per atom. For the electronic total energy, the calculation gives -20.5 eV per cell.